# TcNi3N

An optimized crystal structure of TcNi3N (PBE, Alexandria).

a b c (Å): 3.786 3.786 3.786
angles (deg): 90.00 90.00 90.00
Element x y z (fractional)
1 Ni 0.000 0.500 0.000
2 Ni 0.500 0.000 0.000
3 N 0.000 0.000 0.000
4 Ni 0.000 0.000 0.500
5 Tc 0.500 0.500 0.500

ΔE_f (raw) in eV per atom: 0.374
Energy above the lowest structure with this stoichiometry in meV/atom: 0
Uncorrected energy in eV/cell: -34.2

# TcNiN

An optimized crystal structure of TcNiN (PBE, Alexandria).

a b c (Å): 3.627 3.320 3.320
angles (deg): 120.00 90.00 90.00
Element x y z (fractional)
1 Tc 0.195 0.333 0.667
2 Ni 0.701 0.667 0.333
3 N 0.105 0.000 0.000

ΔE_f (raw) in eV per atom: 0.359
Energy above the lowest structure with this stoichiometry in meV/atom: 0
Uncorrected energy in eV/cell: -23.4

# TcNiTeN2

An optimized crystal structure of TcNiTeN2 (PBE, Alexandria).

a b c (Å): 3.725 3.725 5.322
angles (deg): 90.00 90.00 90.00
Last column: magnetic moment on the atom in μB.
Element x y z (fractional)
1 N 0.000 0.500 0.000  0.23
2 Tc 0.500 0.500 0.500  0.98
3 Te 0.000 0.000 0.500  0.00
4 N 0.500 0.000 0.000  0.23
5 Ni 0.000 0.000 0.000  0.10

ΔE_f (raw) in eV per atom: 1.605
Energy above the lowest structure with this stoichiometry in meV/atom: 912
Uncorrected energy in eV/cell: -27.9

# TcNiTeN2

An optimized crystal structure of TcNiTeN2 (PBE, Alexandria).

a b c (Å): 3.786 3.786 5.793
angles (deg): 90.00 90.00 90.00
Last column: magnetic moment on the atom in μB.
Element x y z (fractional)
1 N 0.000 0.500 0.000  0.04
2 Te 0.000 0.000 0.500  0.01
3 Ni 0.500 0.500 0.500  0.49
4 N 0.500 0.000 0.000  0.04
5 Tc 0.000 0.000 0.000  -0.02

ΔE_f (raw) in eV per atom: 0.693
Energy above the lowest structure with this stoichiometry in meV/atom: 0
Uncorrected energy in eV/cell: -32.5

# NiTeN2

An optimized crystal structure of NiTeN2 (PBE, Alexandria).

a b c (Å): 4.815 4.815 5.863
angles (deg): 65.75 65.75 90.00
Element x y z (fractional)
1 Te 0.000 0.000 0.000
2 Ni 0.250 0.750 0.500
3 N 0.875 0.815 0.750
4 Ni 0.500 0.500 0.000
5 Te 0.750 0.250 0.500
6 N 0.185 0.625 0.250
7 N 0.565 0.125 0.250
8 N 0.375 0.435 0.750

ΔE_f (raw) in eV per atom: 0.928
Uncorrected energy in eV/cell: -43.7

# NiTe2N

An optimized crystal structure of NiTe2N (PBE, Alexandria).

a b c (Å): 6.801 6.801 6.801
angles (deg): 34.16 34.16 34.16
Element x y z (fractional)
1 Ni 0.500 0.500 0.500
2 Te 0.101 0.101 0.101
3 N 0.000 0.000 0.000
4 Te 0.899 0.899 0.899

ΔE_f (raw) in eV per atom: 0.521
Uncorrected energy in eV/cell: -18.3

# NiTe2N

An optimized crystal structure of NiTe2N (PBE, Alexandria).

a b c (Å): 3.859 6.865 8.619
angles (deg): 112.14 127.41 88.46
Element x y z (fractional)
1 Te 0.506 0.672 0.726
2 Ni 0.742 0.743 0.471
3 Te 0.494 0.328 0.274
4 Ni 0.258 0.257 0.529
5 N 0.540 0.264 0.035
6 Te 0.981 0.837 0.283
7 Te 0.019 0.163 0.717
8 N 0.460 0.736 0.965

ΔE_f (raw) in eV per atom: 0.482
Uncorrected energy in eV/cell: -36.9

# NiTe2N

An optimized crystal structure of NiTe2N (PBE, Alexandria).

a b c (Å): 5.405 5.405 6.842
angles (deg): 66.73 66.73 90.00
Element x y z (fractional)
1 Ni 0.750 0.250 0.500
2 N 0.500 0.500 0.000
3 Te 0.609 0.125 0.250
4 Te 0.875 0.859 0.750
5 Ni 0.000 0.000 0.000
6 Te 0.141 0.625 0.250
7 N 0.250 0.750 0.500
8 Te 0.375 0.391 0.750

ΔE_f (raw) in eV per atom: 0.557
Uncorrected energy in eV/cell: -36.3